(1)
Density functional theory data (PBE-GGA) for a geometry-optimized Pm7Ho2Mg2 structure.

Cell lengths 8.011, 8.011, 6.163 Å; angles 107.31, 107.31, 91.52 degrees
Element x y z (fractional)
Pm1 0.000 0.000 0.000
Pm2 0.084 0.576 0.814
Pm3 0.401 0.401 0.188
Pm4 0.424 0.916 0.186
Pm5 0.576 0.084 0.814
Pm6 0.599 0.599 0.812
Pm7 0.916 0.424 0.186
Ho1 0.196 0.804 0.500
Ho2 0.804 0.196 0.500
Mg1 0.242 0.242 0.552
Mg2 0.758 0.758 0.448



(2)
Density functional theory data (PBE-GGA) for a geometry-optimized Pm3Ho2Mg3 structure.

Cell lengths 3.792, 5.518, 22.551 Å; angles 90.00, 90.00, 90.00 degrees
Element x y z (fractional)
Pm1 0.000 0.000 0.000
Pm2 0.000 0.500 0.126
Pm3 0.000 0.500 0.874
Pm4 0.500 0.000 0.374
Pm5 0.500 0.000 0.626
Pm6 0.500 0.500 0.500
Ho1 0.000 0.000 0.236
Ho2 0.000 0.000 0.764
Ho3 0.500 0.500 0.264
Ho4 0.500 0.500 0.736
Mg1 0.000 0.000 0.500
Mg2 0.000 0.500 0.381
Mg3 0.000 0.500 0.619
Mg4 0.500 0.000 0.119
Mg5 0.500 0.000 0.881
Mg6 0.500 0.500 0.000



(3)
Density functional theory data (PBE-GGA) for a geometry-optimized Pm2Ho2Mg15 structure.

Cell lengths 7.921, 7.921, 7.921 Å; angles 82.99, 82.99, 82.99 degrees
Element x y z (fractional)
Pm1 0.096 0.096 0.096
Pm2 0.904 0.904 0.904
Ho1 0.329 0.329 0.329
Ho2 0.671 0.671 0.671
Mg1 0.000 0.000 0.500
Mg2 0.000 0.306 0.694
Mg3 0.000 0.500 0.000
Mg4 0.000 0.694 0.306
Mg5 0.161 0.644 0.644
Mg6 0.306 0.000 0.694
Mg7 0.306 0.694 0.000
Mg8 0.356 0.356 0.839
Mg9 0.356 0.839 0.356
Mg10 0.500 0.000 0.000
Mg11 0.644 0.161 0.644
Mg12 0.644 0.644 0.161
Mg13 0.694 0.000 0.306
Mg14 0.694 0.306 0.000
Mg15 0.839 0.356 0.356



(4)
Density functional theory data (PBE-GGA) for a geometry-optimized PmHo3Mg2 structure.

Cell lengths 3.647, 3.647, 13.062 Å; angles 90.00, 90.00, 90.00 degrees
Element x y z (fractional)
Pm1 0.000 0.000 0.000
Ho1 0.500 0.500 0.192
Ho2 0.500 0.500 0.500
Ho3 0.500 0.500 0.808
Mg1 0.000 0.000 0.348
Mg2 0.000 0.000 0.652



(5)
Density functional theory data (PBE-GGA) for a geometry-optimized Pm6Ho5Mg2 structure.

Cell lengths 10.474, 22.808, 3.535 Å; angles 90.00, 90.00, 90.00 degrees
Element x y z (fractional)
Pm1 0.018 0.113 0.000
Pm2 0.145 0.383 0.000
Pm3 0.170 0.633 0.500
Pm4 0.330 0.133 0.500
Pm5 0.355 0.883 0.000
Pm6 0.482 0.613 0.000
Pm7 0.518 0.387 0.000
Pm8 0.645 0.117 0.000
Pm9 0.670 0.867 0.500
Pm10 0.830 0.367 0.500
Pm11 0.855 0.617 0.000
Pm12 0.982 0.887 0.000
Ho1 0.000 0.500 0.500
Ho2 0.081 0.250 0.500
Ho3 0.165 0.994 0.500
Ho4 0.335 0.494 0.500
Ho5 0.419 0.750 0.500
Ho6 0.500 0.000 0.500
Ho7 0.581 0.250 0.500
Ho8 0.665 0.506 0.500
Ho9 0.835 0.006 0.500
Ho10 0.919 0.750 0.500
Mg1 0.169 0.761 0.000
Mg2 0.331 0.261 0.000
Mg3 0.669 0.739 0.000
Mg4 0.831 0.239 0.000



(6)
Density functional theory data (PBE-GGA) for a geometry-optimized Pm4Ho5Mg2 structure.

Cell lengths 8.712, 3.454, 11.469 Å; angles 90.00, 93.93, 90.00 degrees
Element x y z (fractional)
Pm1 0.148 0.000 0.388
Pm2 0.292 0.000 0.951
Pm3 0.708 0.000 0.049
Pm4 0.852 0.000 0.612
Ho1 0.206 0.500 0.669
Ho2 0.426 0.500 0.208
Ho3 0.500 0.500 0.500
Ho4 0.574 0.500 0.792
Ho5 0.794 0.500 0.331
Mg1 0.052 0.500 0.131
Mg2 0.948 0.500 0.869



(7)
Density functional theory data (PBE-GGA) for a geometry-optimized Pm6HoMg structure.

Cell lengths 6.723, 11.630, 6.641 Å; angles 90.00, 90.08, 90.00 degrees
Element x y z (fractional)
Pm1 0.073 0.000 0.246
Pm2 0.215 0.286 0.246
Pm3 0.215 0.714 0.246
Pm4 0.285 0.214 0.754
Pm5 0.285 0.786 0.754
Pm6 0.427 0.500 0.754
Pm7 0.573 0.500 0.246
Pm8 0.715 0.214 0.246
Pm9 0.715 0.786 0.246
Pm10 0.785 0.286 0.754
Pm11 0.785 0.714 0.754
Pm12 0.927 0.000 0.754
Ho1 0.000 0.500 0.500
Ho2 0.500 0.000 0.500
Mg1 0.000 0.500 0.000
Mg2 0.500 0.000 0.000



(8)
Density functional theory data (PBE-GGA) for a geometry-optimized Pm2HoMg structure.

Cell lengths 3.537, 3.477, 20.511 Å; angles 90.00, 90.00, 90.00 degrees
Element x y z (fractional)
Pm1 0.000 0.000 0.000
Pm2 0.000 0.000 0.229
Pm3 0.000 0.500 0.500
Pm4 0.000 0.500 0.729
Ho1 0.500 0.000 0.852
Ho2 0.500 0.500 0.352
Mg1 0.500 0.000 0.613
Mg2 0.500 0.500 0.113



| no. | formation enthalpy at 0 K (meV/atom) | energy (eV per atom) |
| --- | --- | --- |
| 1 | 112 | -4.03 |
| 2 | -68 | -3.59 |
| 3 | 41 | -2.20 |
| 4 | -40 | -3.65 |
| 5 | 132 | -4.07 |
| 6 | 81 | -4.02 |
| 7 | 117 | -4.22 |
| 8 | 91 | -3.83 |